Computed, not measured: an optimized crystal structure of YCuW2O8 at the GGA+U level of DFT.

Geometry as POSCAR:
```
YCuW2O8
1.0
-0.252 5.141 -0.100
-4.053 -2.589 3.699
5.445 0.136 2.832
Y O Cu W
1 8 1 2
direct
0.375 0.900 0.277
0.861 0.160 0.354
0.356 0.646 0.492
0.841 0.199 0.805
0.402 0.593 0.947
0.395 0.154 0.062
0.890 0.640 0.200
0.910 0.602 0.749
0.348 0.208 0.607
0.875 0.900 0.777
0.126 0.412 0.611
0.625 0.389 0.943
```

Total DFT energy (no corrections) (eV per atom): -7.52
Total moment (μB/atom): 0.00